Below is a relaxed SrHg3 crystal, with properties calculated at the GGA-PBEsol level.

Unit cell a=3.875 b=3.875 c=6.923 alpha=90.00 beta=90.00 gamma=90.00
Space group P4/mmm (No. 123)
Symmetry-distinct sites (fractional):
Sr  0.000  0.000  0.000
Hg  0.000  0.000  0.500
Hg  0.500  0.500  0.277

## Properties
DFT formation energy: -0.389 eV/atom
Total moment: 0.0 Bohr magnetons per cell
Final energy: -1.274 eV/atom

Below is a relaxed SrHg5 crystal, with properties calculated at the GGA-PBEsol level.

Unit cell a=4.664 b=13.361 c=4.820 alpha=90.00 beta=90.00 gamma=90.00
Space group Cmmm (No. 65)
Symmetry-distinct sites (fractional):
Sr  0.000  0.000  0.000
Hg  0.000  0.170  0.500
Hg  0.000  0.326  0.000
Hg  0.000  0.500  0.500

## Properties
DFT formation energy: -0.317 eV/atom
Total moment: 0.0 Bohr magnetons per cell
Distance to the lowest polymorph of the same formula: 27 meV/atom
Final energy: -1.097 eV/atom

Below is a relaxed SrHg crystal, with properties calculated at the GGA-PBEsol level.

Unit cell a=11.898 b=4.110 c=8.722 alpha=90.00 beta=112.46 gamma=90.00
Space group Cm (No. 8)
Symmetry-distinct sites (fractional):
Sr  0.000  0.000  0.000
Sr  0.147  0.500  0.702
Sr  0.329  0.500  0.349
Hg  0.119  0.000  0.395
Hg  0.287  0.000  0.026
Hg  0.365  0.000  0.682

## Properties
DFT formation energy: -0.489 eV/atom
Total moment: 0.0 Bohr magnetons per cell
Final energy: -1.693 eV/atom

Below is a relaxed SrHg3 crystal, with properties calculated at the GGA-PBEsol level.

Unit cell a=3.904 b=4.025 c=6.766 alpha=90.00 beta=96.51 gamma=90.00
Space group P2/m (No. 10)
Symmetry-distinct sites (fractional):
Sr  0.000  0.000  0.000
Hg  0.000  0.000  0.500
Hg  0.457  0.500  0.727

## Properties
DFT formation energy: -0.388 eV/atom
Total moment: 0.0 Bohr magnetons per cell
Final energy: -1.274 eV/atom

Below is a relaxed SrHg crystal, with properties calculated at the GGA-PBEsol level.

Unit cell a=3.914 b=3.914 c=3.914 alpha=90.00 beta=90.00 gamma=90.00
Space group Pm-3m (No. 221)
Symmetry-distinct sites (fractional):
Sr  0.000  0.000  0.000
Hg  0.500  0.500  0.500

## Properties
DFT formation energy: -0.580 eV/atom
Total moment: 0.0 Bohr magnetons per cell
Final energy: -1.783 eV/atom

Below is a relaxed Sr2TaHg crystal, with properties calculated at the GGA-PBEsol level.

Unit cell a=3.454 b=5.554 c=11.932 alpha=90.00 beta=90.00 gamma=90.00
Space group Imm2 (No. 44)
Symmetry-distinct sites (fractional):
Sr  0.000  0.000  0.000
Sr  0.000  0.500  0.204
Ta  0.000  0.000  0.432
Hg  0.000  0.500  0.749

## Properties
DFT formation energy: 0.469 eV/atom
Total moment: 0.8 Bohr magnetons per cell
Final energy: -3.731 eV/atom